First-principles (PBE-GGA) data for a geometry-optimized BaNaCe structure, as listed in Alexandria via LeMat-Bulk.

Unit cell a=3.9809 b=3.9809 c=15.2135 alpha=90.00 beta=90.00 gamma=90.00
With the nearest neighbours (Å) after each atom.
Fractional coordinates of all 6 atoms:
Ba: 0.2500 0.2500 0.2294  4 Ba 3.98, 5 Ce 4.01-4.09, 4 Na 4.10
Ba: 0.7500 0.7500 0.7706  4 Ba 3.98, 5 Ce 4.01-4.09, 4 Na 4.10
Na: 0.2500 0.2500 0.5747  8 Na 3.62-3.98
Na: 0.7500 0.7500 0.4253  8 Na 3.62-3.98
Ce: 0.2500 0.2500 0.9660  4 Ce 3.00
Ce: 0.7500 0.7500 0.0340  4 Ce 3.00

Values from the calculation:
ΔH_f (0 K) (eV per formula unit): 0.5
Space-group type: P4/nmm



First-principles (PBE-GGA) data for a geometry-optimized Ba2NaCeO4 structure, as listed in Alexandria via LeMat-Bulk.

Unit cell a=6.3141 b=3.7683 c=6.5082 alpha=90.00 beta=108.02 gamma=90.00
With the nearest neighbours (Å) after each atom.
Fractional coordinates of all 8 atoms:
Ba: 0.0000 0.0000 0.0000  6 O 2.85-2.88
Ba: 0.5000 0.5000 0.0000  6 O 2.67-2.68
Na: 0.0000 0.5000 0.5000  6 O 2.54-2.68
Ce: 0.5000 0.0000 0.5000  6 O 2.30-2.49
O: 0.2785 0.0000 0.7224  1 Ce 2.30
O: 0.2776 0.5000 0.2889  2 Ce 2.49, 1 Na 2.54, 1 Ba 2.67
O: 0.7215 0.0000 0.2776  1 Ce 2.30
O: 0.7224 0.5000 0.7111  2 Ce 2.49, 1 Na 2.54, 1 Ba 2.67

Values from the calculation:
Space-group type: P2/m
Formation energy (no corrections) (eV/atom): -2.46



First-principles (PBE-GGA) data for a geometry-optimized BaNaCeO3 structure, as listed in Alexandria via LeMat-Bulk.

Unit cell a=6.6560 b=3.7374 c=9.3605 alpha=90.00 beta=101.37 gamma=90.00
With the nearest neighbours (Å) after each atom.
Fractional coordinates of all 12 atoms:
Ba: 0.1271 0.2500 0.1826  6 O 2.62-2.92
Ba: 0.8729 0.7500 0.8174  6 O 2.62-2.92
Na: 0.1829 0.7500 0.5445  4 O 2.31-2.48
Na: 0.8171 0.2500 0.4555  4 O 2.31-2.48
Ce: 0.3753 0.2500 0.8353  6 O 2.30-2.53
Ce: 0.6247 0.7500 0.1647  6 O 2.30-2.53
O: 0.0591 0.2500 0.6792  1 Ce 2.31, 3 Na 2.38-2.48
O: 0.2861 0.7500 0.9942  3 Ce 2.49-2.53
O: 0.4756 0.7500 0.7237  2 Ce 2.30, 1 Na 2.31
O: 0.5244 0.2500 0.2763  2 Ce 2.30, 1 Na 2.31
O: 0.7139 0.2500 0.0058  3 Ce 2.49-2.53
O: 0.9409 0.7500 0.3208  1 Ce 2.31, 3 Na 2.38-2.48

Values from the calculation:
Space-group type: P2_1/m
Formation energy (no corrections) (eV/atom): -2.52



First-principles (PBE-GGA) data for a geometry-optimized BaNa2CeO4 structure, as listed in Alexandria via LeMat-Bulk.

Unit cell a=5.7717 b=5.7717 c=5.7717 alpha=116.45 beta=116.45 gamma=96.26
With the nearest neighbours (Å) after each atom.
Fractional coordinates of all 8 atoms:
Ba: 0.0000 0.0000 0.0000  4 O 2.70
Na: 0.2500 0.7500 0.5000  4 O 2.32
Na: 0.7500 0.2500 0.5000  4 O 2.32
Ce: 0.5000 0.5000 0.0000  4 O 2.14
O: 0.1432 0.5695 0.0000  1 Ce 2.14, 2 Na 2.32
O: 0.4305 0.4305 0.5737  1 Ce 2.14, 2 Na 2.32
O: 0.5695 0.1432 0.0000  1 Ce 2.14, 2 Na 2.32
O: 0.8568 0.8568 0.4263  1 Ce 2.14, 2 Na 2.32

Values from the calculation:
Space-group type: I-42m
Formation energy (no corrections) (eV/atom): -2.39



First-principles (PBE-GGA) data for a geometry-optimized BaNaCeSbO6 structure, as listed in Alexandria via LeMat-Bulk.

Unit cell a=5.9993 b=5.9993 c=5.9993 alpha=60.00 beta=60.00 gamma=60.00
With the nearest neighbours (Å) after each atom.
Fractional coordinates of all 10 atoms:
Ba: 0.0000 0.0000 0.0000  12 O 3.00
Na: 0.5000 0.5000 0.5000  12 O 3.00
Ce: 0.2500 0.2500 0.2500  6 O 2.23
Sb: 0.7500 0.7500 0.7500  6 O 2.01
O: 0.5127 0.5127 0.9873  1 Sb 2.01, 1 Ce 2.23
O: 0.5127 0.9873 0.5127  1 Sb 2.01, 1 Ce 2.23
O: 0.5127 0.9873 0.9873  1 Sb 2.01, 1 Ce 2.23
O: 0.9873 0.5127 0.5127  1 Sb 2.01, 1 Ce 2.23
O: 0.9873 0.5127 0.9873  1 Sb 2.01, 1 Ce 2.23
O: 0.9873 0.9873 0.5127  1 Sb 2.01, 1 Ce 2.23

Values from the calculation:
Space-group type: F-43m
Formation energy (no corrections) (eV/atom): -2.40



First-principles (PBE-GGA) data for a geometry-optimized BaNa2CeS4 structure, as listed in Alexandria via LeMat-Bulk.

Unit cell a=7.1095 b=4.2524 c=7.5651 alpha=90.00 beta=111.41 gamma=90.00
With the nearest neighbours (Å) after each atom.
Fractional coordinates of all 8 atoms:
Ba: 0.0000 0.0000 0.0000  6 S 3.08-3.12
Na: 0.5000 0.0000 0.5000  6 S 2.90-2.96
Na: 0.5000 0.5000 0.0000  6 S 3.11-3.38
Ce: 0.0000 0.5000 0.5000  6 S 2.69-2.83
S: 0.2325 0.0000 0.7212  2 Ce 2.83, 3 Na 2.96-3.11, 1 Ba 3.12
S: 0.2352 0.5000 0.2906  1 Ce 2.69, 2 Na 2.90
S: 0.7648 0.5000 0.7094  1 Ce 2.69, 2 Na 2.90
S: 0.7675 0.0000 0.2788  2 Ce 2.83, 3 Na 2.96-3.11, 1 Ba 3.12

Values from the calculation:
Space-group type: P2/m
Formation energy (no corrections) (eV/atom): -1.62